# 1
Here is a geometry-optimized Sm2MgNi4Ge3 structure from Alexandria via LeMat-Bulk. Energies are from PBE.

Calculated values
Total moment, μB/cell: 0.0
Symmetry: No. 115
Formation energy, eV/atom: -0.611
E, eV/atom: -5.4116

abc: 4.1286 4.1286 9.9514
angles: 90.00 90.00 90.00
Last column: nearest neighbours and their distance in Å.
Fractional coordinates of all 10 atoms:
Ge: 0.0000 0.0000 0.5000  4 Ni 2.49
Mg: 0.5000 0.5000 0.5000  4 Ni 2.49
Sm: 0.5000 0.0000 0.2392  6 Ge 3.13-3.32, 8 Ni 3.15-3.16, 2 Mg 3.32
Ni: 0.5000 0.0000 0.6400  3 Ge 2.34-2.49, 2 Mg 2.49
Ni: 0.0000 0.0000 0.0000  4 Ge 2.41
Ni: 0.5000 0.5000 0.0000  4 Ge 2.41
Sm: 0.0000 0.5000 0.7608  6 Ge 3.13-3.32, 8 Ni 3.15-3.16, 2 Mg 3.32
Ni: 0.0000 0.5000 0.3600  3 Ge 2.34-2.49, 2 Mg 2.49
Ge: 0.0000 0.5000 0.1247  5 Ni 2.34-2.41
Ge: 0.5000 0.0000 0.8753  5 Ni 2.34-2.41

---

# 2
Here is a geometry-optimized SmMgNiGe2 structure from Alexandria via LeMat-Bulk. Energies are from PBE.

Calculated values
Total moment, μB/cell: 0.0
Symmetry: No. 51
Formation energy, eV/atom: -0.454
E, eV/atom: -4.7203

abc: 5.8178 5.5488 5.8003
angles: 90.00 90.00 90.00
Last column: nearest neighbours and their distance in Å.
Fractional coordinates of all 10 atoms:
Ge: 0.2365 0.7500 0.2659  2 Ni 2.49, 1 Mg 2.72, 1 Ge 2.72
Mg: 0.6207 0.7500 0.0000  2 Ni 2.61, 2 Ge 2.72
Ge: 0.7635 0.2500 0.2659  2 Ni 2.49, 1 Mg 2.72, 1 Ge 2.72
Sm: 0.7600 0.7500 0.5000  2 Mg 3.01, 8 Ge 3.09-3.34
Ge: 0.2365 0.7500 0.7341  2 Ni 2.49, 1 Mg 2.72, 1 Ge 2.72
Ni: 0.0000 0.5000 0.0000  4 Ge 2.49, 2 Mg 2.61, 2 Ni 2.77
Sm: 0.2400 0.2500 0.5000  2 Mg 3.01, 8 Ge 3.09-3.34
Ni: 0.0000 0.0000 0.0000  4 Ge 2.49, 2 Mg 2.61, 2 Ni 2.77
Ge: 0.7635 0.2500 0.7341  2 Ni 2.49, 1 Mg 2.72, 1 Ge 2.72
Mg: 0.3793 0.2500 0.0000  2 Ni 2.61, 2 Ge 2.72

---

Q: Among the records above, which one has the lowest formation energy?
A: Sm2MgNi4Ge3

---

Q: Look up the E of the first one.
A: -5.4116 eV/atom